! CeZnBi2 PBE relaxed; values from VASP
! **Magnetic moment**: 0.2 μB/f.u.
! **Space group**: P4/mmm, No. 123
! **Energy of formation from the pure elements**: -39 kJ/mol of atoms
&SYSTEM
  ibrav = 0, nat = 4, ntyp = 3
/
ATOMIC_SPECIES
Zn 65.41 Zn.upf
Bi 208.98 Bi.upf
Ce 140.12 Ce.upf
ATOMIC_POSITIONS angstrom
Zn 2.2264 0.0000 0.0000
Bi 0.0000 0.0000 2.4468
Bi 0.0000 2.4468 0.0000
Ce 2.2264 2.4468 2.4468
CELL_PARAMETERS angstrom
4.4528 0.0000 0.0000
0.0000 4.8937 0.0000
0.0000 0.0000 4.8937